No. 1
Entry from Alexandria via LeMat-Bulk: a geometry-optimized KTlFe2Sb structure (PBE).

Cell: 5.1971 5.1971 5.9620 Å, 90.00 90.00 90.00°
Space group P4/mmm (No. 123)
Asymmetric unit:
K (0.0000, 0.0000, 0.0000)
Tl (0.5000, 0.5000, 0.5000)
Fe (0.0000, 0.5000, 0.0000)
Sb (0.0000, 0.0000, 0.5000)

- ΔE_f (raw): 1.89 eV per atom
- Crystal system: tetragonal
- Total magnetic moment: 6.78 Bohr magnetons per cell
- Density of states at the Fermi level: 8.17 states/eV/f.u.
- V: 161.0 Å³/cell

No. 2
Entry from Alexandria via LeMat-Bulk: a geometry-optimized K2ScFe structure (PBE).

Cell: 3.9602 4.7940 6.3682 Å, 90.00 90.00 90.00°
Space group Pmmm (No. 47)
Asymmetric unit:
K (0.0000, 0.0000, 0.0000)
K (0.5000, 0.5000, 0.0000)
Sc (0.0000, 0.5000, 0.5000)
Fe (0.5000, 0.0000, 0.5000)

- Crystal system: orthorhombic
- Total magnetic moment: 1.56 Bohr magnetons per cell
- ΔE_f: 3.99 eV/f.u.
- Density of states at the Fermi level: 6.56 states/eV/f.u.
- V: 120.9 Å³/cell

No. 3
Entry from Alexandria via LeMat-Bulk: a geometry-optimized K2ScFe structure (PBE).

Cell: 4.0985 4.0985 25.5309 Å, 90.00 90.00 90.00°
Space group I-42d (No. 122)
Asymmetric unit:
K (0.2435, 0.2500, 0.1250)
Sc (0.0000, 0.0000, 0.5000)
Fe (0.0000, 0.0000, 0.0000)

- Crystal system: tetragonal
- Total magnetic moment: 1.79 Bohr magnetons per cell
- ΔE_f: 4.93 eV/f.u.
- Density of states at the Fermi level: 6.01 states/eV/f.u.
- V: 428.9 Å³/cell

No. 4
Entry from Alexandria via LeMat-Bulk: a geometry-optimized KScFe2 structure (PBE).

Cell: 5.2382 5.2382 3.0113 Å, 90.00 90.00 90.00°
Space group P4/mmm (No. 123)
Asymmetric unit:
K (0.0000, 0.0000, 0.0000)
Sc (0.5000, 0.5000, 0.0000)
Fe (0.0000, 0.5000, 0.5000)

- Crystal system: tetragonal
- Total magnetic moment: 4.70 Bohr magnetons per cell
- ΔE_f: 4.08 eV/f.u.
- Density of states at the Fermi level: 7.83 states/eV/f.u.
- V: 82.6 Å³/cell

No. 5
Entry from Alexandria via LeMat-Bulk: a geometry-optimized K2ScFe structure (PBE).

Cell: 3.6135 3.6171 10.7034 Å, 90.00 90.29 90.00°
Space group Pm (No. 6)
Asymmetric unit:
K (0.0000, 0.0000, 0.0000)
K (0.4850, 0.5000, 0.3845)
Sc (0.4913, 0.5000, 0.7104)
Fe (0.9898, 0.0000, 0.6378)

- Crystal system: monoclinic
- Total magnetic moment: 1.46 Bohr magnetons per cell
- ΔE_f: 2.02 eV/f.u.
- Density of states at the Fermi level: 4.59 states/eV/f.u.
- V: 139.9 Å³/cell

No. 6
Entry from Alexandria via LeMat-Bulk: a geometry-optimized K2ScFe structure (PBE).

Cell: 4.7480 4.7480 6.0462 Å, 90.00 90.00 90.00°
Space group P4/mmm (No. 123)
Asymmetric unit:
K (0.0000, 0.0000, 0.2379)
Sc (0.5000, 0.5000, 0.5000)
Fe (0.5000, 0.5000, 0.0000)

- Crystal system: tetragonal
- Total magnetic moment: 1.54 Bohr magnetons per cell
- ΔE_f: 4.64 eV/f.u.
- Density of states at the Fermi level: 5.04 states/eV/f.u.
- V: 136.3 Å³/cell

No. 7
Entry from Alexandria via LeMat-Bulk: a geometry-optimized K2ScFe structure (PBE).

Cell: 3.5654 5.4492 12.4776 Å, 90.00 90.00 90.00°
Space group Cmmm (No. 65)
Asymmetric unit:
K (0.0000, 0.0000, 0.2237)
Sc (0.0000, 0.5000, 0.5000)
Fe (0.0000, 0.5000, 0.0000)

- Crystal system: orthorhombic
- Total magnetic moment: 5.78 Bohr magnetons per cell
- ΔE_f: 4.21 eV/f.u.
- Density of states at the Fermi level: 7.42 states/eV/f.u.
- V: 242.4 Å³/cell

No. 8
Entry from Alexandria via LeMat-Bulk: a geometry-optimized KScFe2 structure (PBE).

Cell: 3.0233 3.0233 30.5388 Å, 90.00 90.00 120.00°
Space group R-3m (No. 166, hexagonal axes)
Asymmetric unit:
K (0.0000, 0.0000, 0.0000)
Sc (0.0000, 0.0000, 0.5000)
Fe (0.0000, 0.0000, 0.2378)

- Crystal system: trigonal
- Total magnetic moment: 14.35 Bohr magnetons per cell
- ΔE_f: 3.23 eV/f.u.
- Density of states at the Fermi level: 4.56 states/eV/f.u.
- V: 241.7 Å³/cell

No. 9
Entry from Alexandria via LeMat-Bulk: a geometry-optimized KScFe2 structure (PBE).

Cell: 6.4090 8.5748 2.9433 Å, 90.00 90.00 90.00°
Space group Cmmm (No. 65)
Asymmetric unit:
K (0.0000, 0.0000, 0.0000)
Sc (0.0000, 0.5000, 0.0000)
Fe (0.2500, 0.2500, 0.5000)

- Crystal system: orthorhombic
- Total magnetic moment: 9.84 Bohr magnetons per cell
- ΔE_f: 4.02 eV/f.u.
- Density of states at the Fermi level: 4.75 states/eV/f.u.
- V: 161.8 Å³/cell

No. 10
Entry from Alexandria via LeMat-Bulk: a geometry-optimized K2ScFe structure (PBE).

Cell: 4.3817 4.3817 12.6916 Å, 90.00 90.00 90.00°
Space group I4/mmm (No. 139)
Asymmetric unit:
K (0.0000, 0.5000, 0.2500)
Sc (0.0000, 0.0000, 0.0000)
Fe (0.0000, 0.0000, 0.5000)

- Crystal system: tetragonal
- Total magnetic moment: 3.35 Bohr magnetons per cell
- ΔE_f: 4.02 eV/f.u.
- Density of states at the Fermi level: 6.55 states/eV/f.u.
- V: 243.7 Å³/cell

No. 11
Entry from Alexandria via LeMat-Bulk: a geometry-optimized K2ScFe structure (PBE).

Cell: 6.0073 12.5299 3.3679 Å, 90.00 90.00 90.00°
Space group Cmmm (No. 65)
Asymmetric unit:
K (0.2500, 0.2500, 0.0000)
Sc (0.0000, 0.0000, 0.5000)
Fe (0.0000, 0.5000, 0.5000)

- Crystal system: orthorhombic
- Total magnetic moment: 2.46 Bohr magnetons per cell
- ΔE_f: 4.34 eV/f.u.
- Density of states at the Fermi level: 7.06 states/eV/f.u.
- V: 253.5 Å³/cell

No. 12
Entry from Alexandria via LeMat-Bulk: a geometry-optimized K2ScFe structure (PBE).

Cell: 3.3867 4.0026 21.2589 Å, 90.00 90.00 90.00°
Space group Immm (No. 71)
Asymmetric unit:
K (0.0000, 0.0000, 0.1521)
Sc (0.0000, 0.5000, 0.0000)
Fe (0.0000, 0.5000, 0.5000)

- Crystal system: orthorhombic
- Total magnetic moment: 2.79 Bohr magnetons per cell
- ΔE_f: 2.06 eV/f.u.
- Density of states at the Fermi level: 4.32 states/eV/f.u.
- V: 288.2 Å³/cell